(1)
Material: ScZn17Tc
Method: DFT, PBE-GGA
State: relaxed

Magnetization = 0.0 μB/f.u.
Volume = 15.98 Å³ per atom
Energy of formation = -0.02 eV/atom
Total DFT energy (no corrections) = -2.0378 eV/atom

Cell lengths 6.7820, 6.7820, 6.7820 Å; angles 82.04, 82.04, 82.04 degrees
Last column: nearest neighbours and their distance in Å.
Fractional positions:
Sc1 0.0000 0.0000 0.0000  1 Tc 2.80, 6 Zn 2.95-3.08
Zn1 0.0068 0.2979 0.5928  8 Zn 2.57-2.88, 1 Tc 2.86
Zn2 0.0068 0.5928 0.2979  8 Zn 2.57-2.88, 1 Tc 2.86
Zn3 0.1500 0.6599 0.6599  10 Zn 2.63-2.88
Zn4 0.2974 0.2974 0.8071  9 Zn 2.55-2.71, 1 Tc 2.72
Zn5 0.2974 0.8071 0.2974  9 Zn 2.55-2.71, 1 Tc 2.72
Zn6 0.2979 0.0068 0.5928  8 Zn 2.57-2.88, 1 Tc 2.86
Zn7 0.2979 0.5928 0.0068  8 Zn 2.57-2.88, 1 Tc 2.86
Zn8 0.4164 0.4164 0.4164  6 Zn 2.71-2.80, 1 Tc 2.73
Zn9 0.4418 0.9475 0.9475  9 Zn 2.55-2.81
Zn10 0.5928 0.0068 0.2979  8 Zn 2.57-2.88, 1 Tc 2.86
Zn11 0.5928 0.2979 0.0068  8 Zn 2.57-2.88, 1 Tc 2.86
Zn12 0.6599 0.1500 0.6599  10 Zn 2.63-2.88
Zn13 0.6599 0.6599 0.1500  10 Zn 2.63-2.88
Zn14 0.7574 0.7574 0.7574  6 Zn 2.61-2.67
Zn15 0.8071 0.2974 0.2974  9 Zn 2.55-2.71, 1 Tc 2.72
Zn16 0.9475 0.4418 0.9475  9 Zn 2.55-2.81
Zn17 0.9475 0.9475 0.4418  9 Zn 2.55-2.81
Tc1 0.2106 0.2106 0.2106  13 Zn 2.72-2.86, 1 Sc 2.80

(2)
Material: ScZnTc2
Method: DFT, PBE-GGA
State: relaxed

Magnetization = 0.0 μB/f.u.
Volume = 16.34 Å³ per atom
Energy of formation = 0.02 eV/atom
Total DFT energy (no corrections) = -7.0622 eV/atom

Cell lengths 3.3398, 3.3398, 5.8580 Å; angles 90.00, 90.00, 90.00 degrees
Last column: nearest neighbours and their distance in Å.
Fractional positions:
Sc1 0.0000 0.0000 0.0000  2 Zn 2.93, 8 Tc 2.94
Zn1 0.0000 0.0000 0.5000  8 Tc 2.64, 2 Sc 2.93
Tc1 0.5000 0.5000 0.2978  1 Tc 2.37, 4 Zn 2.64
Tc2 0.5000 0.5000 0.7022  1 Tc 2.37, 4 Zn 2.64

(3)
Material: ScZnTc2
Method: DFT, PBE-GGA
State: relaxed

Magnetization = 0.0 μB/f.u.
Volume = 16.16 Å³ per atom
Energy of formation = -0.18 eV/atom
Total DFT energy (no corrections) = -7.2676 eV/atom

Cell lengths 3.0877, 3.0877, 6.7813 Å; angles 90.00, 90.00, 90.00 degrees
Last column: nearest neighbours and their distance in Å.
Fractional positions:
Sc1 0.0000 0.0000 0.0000  4 Tc 2.84, 4 Zn 2.92, 4 Sc 3.09
Zn1 0.5000 0.5000 0.7151  4 Tc 2.70, 4 Sc 2.92
Tc1 0.0000 0.0000 0.4807  4 Tc 2.61, 4 Zn 2.70
Tc2 0.5000 0.5000 0.2688  4 Tc 2.61, 4 Sc 2.84

(4)
Material: ZrScTc2
Method: DFT, PBE-GGA
State: relaxed

Magnetization = 0.0 μB/f.u.
Volume = 17.51 Å³ per atom
Energy of formation = -0.08 eV/atom
Total DFT energy (no corrections) = -8.9830 eV/atom

Cell lengths 5.2378, 5.2378, 5.2378 Å; angles 143.38, 123.90, 68.88 degrees
Last column: nearest neighbours and their distance in Å.
Fractional positions:
Zr1 0.0000 0.0000 0.0000  4 Tc 2.70, 4 Sc 2.96
Sc1 0.5000 0.5000 0.0000  4 Tc 2.73, 4 Zr 2.96
Tc1 0.2484 0.7484 0.5000  2 Zr 2.70, 2 Sc 2.73, 4 Tc 2.96
Tc2 0.7516 0.2516 0.5000  2 Zr 2.70, 2 Sc 2.73, 4 Tc 2.96

(5)
Material: ZrSc3Tc
Method: DFT, PBE-GGA
State: relaxed

Magnetization = 2.3 μB/f.u.
Volume = 24.52 Å³ per atom
Excess energy over the best structure of this formula in the dataset = 1443 meV/atom
Energy of formation = 1.29 eV/atom
Total DFT energy (no corrections) = -6.2939 eV/atom

Cell lengths 4.9677, 4.9677, 4.9677 Å; angles 90.00, 90.00, 90.00 degrees
Last column: nearest neighbours and their distance in Å.
Fractional positions:
Zr1 0.0000 0.0000 0.0000  6 Sc 2.48
Sc1 0.0000 0.0000 0.5000  2 Zr 2.48
Sc2 0.0000 0.5000 0.0000  2 Zr 2.48
Sc3 0.5000 0.0000 0.0000  2 Zr 2.48
Tc1 0.5000 0.5000 0.5000  12 Sc 3.51

(6)
Material: Zr4ScTc
Method: DFT, PBE-GGA
State: relaxed

Magnetization = 0.0 μB/f.u.
Volume = 21.45 Å³ per atom
Excess energy over the best structure of this formula in the dataset = 0 meV/atom
Energy of formation = -0.12 eV/atom
Total DFT energy (no corrections) = -8.5997 eV/atom

Cell lengths 5.7924, 5.7924, 6.1028 Å; angles 120.83, 120.83, 49.60 degrees
Last column: nearest neighbours and their distance in Å.
Fractional positions:
Zr1 0.1442 0.1442 0.3004  2 Tc 2.90, 3 Zr 3.05-3.18, 1 Sc 3.21
Zr2 0.2097 0.2097 0.8550  1 Tc 2.66, 2 Zr 2.84
Zr3 0.7903 0.7903 0.1450  1 Tc 2.66, 2 Zr 2.84
Zr4 0.8558 0.8558 0.6996  2 Tc 2.90, 3 Zr 3.05-3.18, 1 Sc 3.21
Sc1 0.5000 0.5000 0.5000  2 Tc 3.05, 8 Zr 3.17-3.35
Tc1 0.5000 0.5000 0.0000  6 Zr 2.66-2.90

(7)
Material: ZrScTc2
Method: DFT, PBE-GGA
State: relaxed

Magnetization = 0.0 μB/f.u.
Volume = 17.64 Å³ per atom
Energy of formation = -0.08 eV/atom
Total DFT energy (no corrections) = -8.9841 eV/atom

Cell lengths 2.9938, 4.5147, 5.3700 Å; angles 90.00, 103.61, 90.00 degrees
Last column: nearest neighbours and their distance in Å.
Fractional positions:
Zr1 0.0000 0.0000 0.0000  4 Tc 2.69-2.82, 2 Sc 2.94, 2 Zr 2.99
Sc1 0.7170 0.5000 0.2786  4 Tc 2.65-2.86, 2 Zr 2.94
Tc1 0.2449 0.5000 0.7495  2 Sc 2.65-2.86, 2 Tc 2.72, 2 Zr 2.81
Tc2 0.4665 0.0000 0.5216  2 Zr 2.69-2.82, 4 Tc 2.72-2.99, 2 Sc 2.80

(8)
Material: ZrSc2Tc2
Method: DFT, PBE-GGA
State: relaxed

Magnetization = 0.0 μB/f.u.
Volume = 18.70 Å³ per atom
Excess energy over the best structure of this formula in the dataset = 0 meV/atom
Energy of formation = -0.17 eV/atom
Total DFT energy (no corrections) = -8.5592 eV/atom

Cell lengths 3.3559, 4.8409, 11.6361 Å; angles 90.00, 98.32, 90.00 degrees
Last column: nearest neighbours and their distance in Å.
Fractional positions:
Zr1 0.1375 0.2500 0.2778  6 Tc 2.66-2.95
Zr2 0.8625 0.7500 0.7222  6 Tc 2.66-2.95
Sc1 0.0469 0.7500 0.0951  8 Tc 2.78-2.95
Sc2 0.2342 0.7500 0.4684  2 Tc 2.63
Sc3 0.7658 0.2500 0.5316  2 Tc 2.63
Sc4 0.9531 0.2500 0.9049  8 Tc 2.78-2.95
Tc1 0.3546 0.2500 0.7077  4 Sc 2.63-2.82
Tc2 0.4515 0.7500 0.9021  2 Zr 2.66-2.67, 6 Sc 2.78-2.95
Tc3 0.5485 0.2500 0.0979  2 Zr 2.66-2.67, 6 Sc 2.78-2.95
Tc4 0.6454 0.7500 0.2923  4 Sc 2.63-2.82

(9)
Material: ZrScTc2
Method: DFT, PBE-GGA
State: relaxed

Magnetization = 0.0 μB/f.u.
Volume = 18.96 Å³ per atom
Energy of formation = -0.10 eV/atom
Total DFT energy (no corrections) = -8.9988 eV/atom

Cell lengths 3.0271, 3.0271, 8.2743 Å; angles 90.00, 90.00, 90.00 degrees
Last column: nearest neighbours and their distance in Å.
Fractional positions:
Zr1 0.0000 0.0000 0.0000  4 Tc 2.94, 4 Zr 3.03
Sc1 0.5000 0.5000 0.3458  4 Tc 2.89, 4 Sc 3.03
Tc1 0.0000 0.0000 0.5800  4 Tc 2.59, 4 Sc 2.89
Tc2 0.5000 0.5000 0.7567  4 Tc 2.59

(10)
Material: ZrScTc2
Method: DFT, PBE-GGA
State: relaxed

Magnetization = 0.0 μB/f.u.
Volume = 17.52 Å³ per atom
Energy of formation = -0.21 eV/atom
Total DFT energy (no corrections) = -9.1081 eV/atom

Cell lengths 3.2716, 3.2716, 6.5470 Å; angles 90.00, 90.00, 90.00 degrees
Last column: nearest neighbours and their distance in Å.
Fractional positions:
Zr1 0.0000 0.0000 0.0000  8 Tc 2.82
Sc1 0.0000 0.0000 0.5000  8 Tc 2.85
Tc1 0.5000 0.5000 0.2461  4 Zr 2.82, 4 Sc 2.85
Tc2 0.5000 0.5000 0.7539  4 Zr 2.82, 4 Sc 2.85

(11)
Material: ZrSc3Tc
Method: DFT, PBE-GGA
State: relaxed

Magnetization = 1.1 μB/f.u.
Volume = 24.47 Å³ per atom
Excess energy over the best structure of this formula in the dataset = 447 meV/atom
Energy of formation = 0.29 eV/atom
Total DFT energy (no corrections) = -7.2893 eV/atom

Cell lengths 4.9642, 4.9642, 4.9642 Å; angles 90.00, 90.00, 90.00 degrees
Last column: nearest neighbours and their distance in Å.
Fractional positions:
Zr1 0.0000 0.0000 0.0000  12 Sc 3.51
Sc1 0.0000 0.5000 0.5000  2 Tc 2.48
Sc2 0.5000 0.0000 0.5000  2 Tc 2.48
Sc3 0.5000 0.5000 0.0000  2 Tc 2.48
Tc1 0.5000 0.5000 0.5000  6 Sc 2.48

(12)
Material: Zr4ScTc5
Method: DFT, PBE-GGA
State: relaxed

Magnetization = 0.0 μB/f.u.
Volume = 17.73 Å³ per atom
Energy of formation = -0.29 eV/atom
Total DFT energy (no corrections) = -9.5289 eV/atom

Cell lengths 3.2904, 3.2904, 16.3795 Å; angles 90.00, 90.00, 90.00 degrees
Last column: nearest neighbours and their distance in Å.
Fractional positions:
Zr1 0.0000 0.0000 0.1004  8 Tc 2.85
Zr2 0.0000 0.0000 0.3019  8 Tc 2.82-2.85
Zr3 0.0000 0.0000 0.6981  8 Tc 2.82-2.85
Zr4 0.0000 0.0000 0.8996  8 Tc 2.85
Sc1 0.0000 0.0000 0.5000  8 Tc 2.85
Tc1 0.5000 0.5000 0.0000  8 Zr 2.85
Tc2 0.5000 0.5000 0.2009  8 Zr 2.85
Tc3 0.5000 0.5000 0.3992  4 Zr 2.82, 4 Sc 2.85
Tc4 0.5000 0.5000 0.6008  4 Zr 2.82, 4 Sc 2.85
Tc5 0.5000 0.5000 0.7991  8 Zr 2.85

(13)
Material: ZrScTc2
Method: DFT, PBE-GGA
State: relaxed

Magnetization = 0.0 μB/f.u.
Volume = 17.56 Å³ per atom
Energy of formation = -0.08 eV/atom
Total DFT energy (no corrections) = -8.9822 eV/atom

Cell lengths 2.9684, 2.9684, 8.6189 Å; angles 90.00, 90.00, 112.39 degrees
Last column: nearest neighbours and their distance in Å.
Fractional positions:
Zr1 0.0000 0.0000 0.0000  4 Tc 2.72, 4 Zr 2.97
Sc1 0.0000 0.0000 0.5000  4 Tc 2.71, 4 Sc 2.97
Tc1 0.5000 0.5000 0.2505  2 Sc 2.71, 2 Zr 2.72, 4 Tc 2.97
Tc2 0.5000 0.5000 0.7495  2 Sc 2.71, 2 Zr 2.72, 4 Tc 2.97

(14)
Material: Zr2ScTc
Method: DFT, PBE-GGA
State: relaxed

Magnetization = 0.0 μB/f.u.
Volume = 20.33 Å³ per atom
Excess energy over the best structure of this formula in the dataset = 138 meV/atom
Energy of formation = -0.07 eV/atom
Total DFT energy (no corrections) = -8.5156 eV/atom

Cell lengths 3.1841, 4.5405, 5.8109 Å; angles 90.00, 104.59, 90.00 degrees
Last column: nearest neighbours and their distance in Å.
Fractional positions:
Zr1 0.0000 0.0000 0.0000  2 Tc 2.90-2.98, 4 Sc 3.09-3.23, 4 Zr 3.10-3.18
Zr2 0.3255 0.5000 0.7248  2 Tc 2.72, 1 Sc 2.94
Sc1 0.6669 0.5000 0.2686  2 Tc 2.78, 5 Zr 2.94-3.11
Tc1 0.5005 0.0000 0.5086  4 Zr 2.72-2.98, 2 Sc 2.78

(15)
Material: ZrScTc2
Method: DFT, PBE-GGA
State: relaxed

Magnetization = 0.0 μB/f.u.
Volume = 17.50 Å³ per atom
Energy of formation = -0.09 eV/atom
Total DFT energy (no corrections) = -8.9899 eV/atom

Cell lengths 2.9569, 4.3145, 5.5273 Å; angles 90.00, 96.90, 90.00 degrees
Last column: nearest neighbours and their distance in Å.
Fractional positions:
Zr1 0.0000 0.0000 0.0000  4 Tc 2.72, 2 Zr 2.96, 2 Sc 2.97
Sc1 0.5000 0.0000 0.5000  4 Tc 2.70, 2 Sc 2.96, 2 Zr 2.97
Tc1 0.2402 0.5000 0.7440  2 Sc 2.70, 2 Zr 2.72, 3 Tc 2.89-2.96
Tc2 0.7598 0.5000 0.2560  2 Sc 2.70, 2 Zr 2.72, 3 Tc 2.89-2.96

(16)
Material: Zr5ScTc4
Method: DFT, PBE-GGA
State: relaxed

Magnetization = 0.0 μB/f.u.
Volume = 19.01 Å³ per atom
Energy of formation = -0.28 eV/atom
Total DFT energy (no corrections) = -9.3350 eV/atom

Cell lengths 3.3178, 3.3178, 17.2669 Å; angles 90.00, 90.00, 90.00 degrees
Last column: nearest neighbours and their distance in Å.
Fractional positions:
Zr1 0.0000 0.0000 0.0000  8 Tc 2.87
Zr2 0.0000 0.0000 0.1889  8 Tc 2.85-2.92
Zr3 0.0000 0.0000 0.3752  4 Tc 2.77
Zr4 0.0000 0.0000 0.6248  4 Tc 2.77
Zr5 0.0000 0.0000 0.8111  8 Tc 2.85-2.92
Sc1 0.5000 0.5000 0.5000  8 Zr 3.19, 4 Sc 3.32
Tc1 0.5000 0.5000 0.0953  8 Zr 2.85-2.87
Tc2 0.5000 0.5000 0.2895  8 Zr 2.77-2.92
Tc3 0.5000 0.5000 0.7105  8 Zr 2.77-2.92
Tc4 0.5000 0.5000 0.9047  8 Zr 2.85-2.87

(17)
Material: Zr2ScTc
Method: DFT, PBE-GGA
State: relaxed

Magnetization = 0.0 μB/f.u.
Volume = 20.68 Å³ per atom
Excess energy over the best structure of this formula in the dataset = 57 meV/atom
Energy of formation = -0.15 eV/atom
Total DFT energy (no corrections) = -8.5960 eV/atom

Cell lengths 3.3452, 3.3452, 7.3938 Å; angles 90.00, 90.00, 90.00 degrees
Last column: nearest neighbours and their distance in Å.
Fractional positions:
Zr1 0.0000 0.0000 0.2132  4 Tc 2.84, 1 Zr 3.15, 4 Sc 3.18
Zr2 0.0000 0.0000 0.7868  4 Tc 2.84, 1 Zr 3.15, 4 Sc 3.18
Sc1 0.5000 0.5000 0.5000  8 Zr 3.18, 4 Sc 3.35
Tc1 0.5000 0.5000 0.0000  8 Zr 2.84

(18)
Material: Zr2ScTc
Method: DFT, PBE-GGA
State: relaxed

Magnetization = 0.0 μB/f.u.
Volume = 19.91 Å³ per atom
Excess energy over the best structure of this formula in the dataset = 240 meV/atom
Energy of formation = 0.04 eV/atom
Total DFT energy (no corrections) = -8.4130 eV/atom

Cell lengths 3.4920, 4.7625, 4.7899 Å; angles 90.00, 90.00, 90.00 degrees
Last column: nearest neighbours and their distance in Å.
Fractional positions:
Zr1 0.0000 0.0000 0.0000  4 Tc 2.95, 4 Zr 2.96
Zr2 0.5000 0.0000 0.5000  4 Sc 2.95, 4 Zr 2.96
Sc1 0.0000 0.5000 0.5000  4 Zr 2.95, 4 Tc 2.96
Tc1 0.5000 0.5000 0.0000  4 Zr 2.95, 4 Sc 2.96

(19)
Material: Zr2ScTc
Method: DFT, PBE-GGA
State: relaxed

Magnetization = 0.0 μB/f.u.
Volume = 20.70 Å³ per atom
Excess energy over the best structure of this formula in the dataset = 47 meV/atom
Energy of formation = -0.16 eV/atom
Total DFT energy (no corrections) = -8.6063 eV/atom

Cell lengths 3.3030, 3.3030, 7.5889 Å; angles 90.00, 90.00, 90.00 degrees
Last column: nearest neighbours and their distance in Å.
Fractional positions:
Zr1 0.0000 0.0000 0.0000  4 Tc 2.79, 1 Sc 3.11, 4 Zr 3.12
Zr2 0.5000 0.5000 0.2735  8 Zr 3.12-3.30, 4 Sc 3.35
Sc1 0.0000 0.0000 0.5898  4 Tc 2.82, 1 Zr 3.11
Tc1 0.5000 0.5000 0.7978  4 Zr 2.79, 4 Sc 2.82

(20)
Material: ZrSc3Tc
Method: DFT, PBE-GGA
State: relaxed

Magnetization = 0.0 μB/f.u.
Volume = 21.76 Å³ per atom
Excess energy over the best structure of this formula in the dataset = 0 meV/atom
Energy of formation = -0.15 eV/atom
Total DFT energy (no corrections) = -7.7365 eV/atom

Cell lengths 6.0283, 6.0283, 11.2152 Å; angles 92.88, 92.88, 32.32 degrees
Last column: nearest neighbours and their distance in Å.
Fractional positions:
Zr1 0.0317 0.0317 0.1936  2 Tc 2.68
Zr2 0.9683 0.9683 0.8064  2 Tc 2.68
Sc1 0.1242 0.1242 0.4635  4 Tc 2.81-2.85, 1 Sc 3.03
Sc2 0.2276 0.2276 0.7428  2 Tc 2.83, 1 Zr 3.12
Sc3 0.3651 0.3651 0.0280  4 Zr 3.10-3.28, 7 Sc 3.18-3.36
Sc4 0.6349 0.6349 0.9720  4 Zr 3.10-3.28, 7 Sc 3.18-3.36
Sc5 0.7724 0.7724 0.2572  2 Tc 2.83, 1 Zr 3.12
Sc6 0.8758 0.8758 0.5365  4 Tc 2.81-2.85, 1 Sc 3.03
Tc1 0.4496 0.4496 0.3550  2 Zr 2.68, 6 Sc 2.81-2.85
Tc2 0.5504 0.5504 0.6450  2 Zr 2.68, 6 Sc 2.81-2.85